1.
InHg2As after structural relaxation, computed with PBE.

Cell lengths 3.0633, 3.0633, 11.2522 Å; angles 90.00, 90.00, 100.24 degrees
Last column: nearest neighbours and their distance in Å.
Element x y z (fractional)
As 0.5000 0.5000 0.7321  4 In 3.02-3.29, 4 As 3.06
Hg 0.0000 0.0000 0.9854  4 Hg 3.06
Hg 0.5000 0.5000 0.2547  4 Hg 3.06
In 0.0000 0.0000 0.5277  4 As 3.02-3.29, 4 In 3.06

Summary:
* density of states at the Fermi level: 1.6 states/eV/f.u.
* E: -7.40 eV per cell
* crystal system: orthorhombic

***

2.
InHg2As2 after structural relaxation, computed with PBE.

Cell lengths 7.8496, 7.8496, 4.0538 Å; angles 90.00, 90.00, 90.00 degrees
Last column: nearest neighbours and their distance in Å.
Element x y z (fractional)
As 0.3033 0.8033 0.0000  2 Hg 2.80, 2 In 2.84
As 0.8033 0.6967 0.0000  2 Hg 2.80, 2 In 2.84
As 0.6967 0.1967 0.0000  2 Hg 2.80, 2 In 2.84
As 0.1967 0.3033 0.0000  2 Hg 2.80, 2 In 2.84
Hg 0.1296 0.6296 0.5000  2 As 2.80, 1 Hg 2.88
Hg 0.6296 0.8704 0.5000  2 As 2.80, 1 Hg 2.88
Hg 0.8704 0.3704 0.5000  2 As 2.80, 1 Hg 2.88
Hg 0.3704 0.1296 0.5000  2 As 2.80, 1 Hg 2.88
In 0.0000 0.0000 0.0000  4 As 2.84
In 0.5000 0.5000 0.0000  4 As 2.84

Summary:
* ΔE to the lowest computed polymorph: 90.7 meV/atom
* density of states at the Fermi level: 2.6 states/eV/f.u.
* E: -22.84 eV per cell
* crystal system: tetragonal

***

> Among the records above, which one has the lowest E?

InHg2As2

***

> Number 2 is which compound?

InHg2As2